1.
Entry from Alexandria via LeMat-Bulk: Ca2TeCl after structural relaxation (PBE-GGA).

abc: 4.005 4.052 7.368
angles: 90.00 90.32 90.00
Fractional positions:
Ca 0.004 0.000 0.237
Ca 0.996 0.000 0.763
Te 0.500 0.500 0.000
Cl 0.000 0.500 0.500

Summary:
E above lowest polymorph: 0.097 eV per atom
SG: No. 10
Energy relative to the elements, uncorrected: -1.45 eV per atom

***

2.
Entry from Alexandria via LeMat-Bulk: Ca2TeCl after structural relaxation (PBE-GGA).

abc: 5.630 5.630 3.957
angles: 103.18 103.18 92.56
Fractional positions:
Ca 0.000 0.500 0.000
Ca 0.500 0.000 0.000
Te 0.000 0.000 0.500
Cl 0.500 0.500 0.500

Summary:
E above lowest polymorph: 0.204 eV per atom
SG: No. 12
Energy relative to the elements, uncorrected: -1.34 eV per atom

***

3.
Entry from Alexandria via LeMat-Bulk: Ca2TeCl after structural relaxation (PBE-GGA).

abc: 4.356 4.356 6.109
angles: 90.00 90.00 90.00
Fractional positions:
Ca 0.000 0.000 0.000
Ca 0.500 0.500 0.500
Te 0.000 0.000 0.500
Cl 0.500 0.500 0.000

Summary:
E above lowest polymorph: 0.011 eV per atom
SG: No. 123
Energy relative to the elements, uncorrected: -1.54 eV per atom

***

4.
Entry from Alexandria via LeMat-Bulk: Ca2TeCl after structural relaxation (PBE-GGA).

abc: 5.329 5.329 5.329
angles: 60.00 60.00 60.00
Fractional positions:
Ca 0.250 0.250 0.250
Ca 0.750 0.750 0.750
Te 0.000 0.000 0.000
Cl 0.500 0.500 0.500

Summary:
E above lowest polymorph: 0.152 eV per atom
SG: No. 225
Energy relative to the elements, uncorrected: -1.40 eV per atom

***

5.
Entry from Alexandria via LeMat-Bulk: Ca2TeCl after structural relaxation (PBE-GGA).

abc: 7.684 7.684 4.217
angles: 105.86 105.86 30.03
Fractional positions:
Ca 0.000 0.000 0.000
Ca 0.734 0.734 0.240
Te 0.331 0.331 0.836
Cl 0.569 0.569 0.572

Summary:
E above lowest polymorph: 0.094 eV per atom
SG: No. 8
Energy relative to the elements, uncorrected: -1.45 eV per atom

***

6.
Entry from Alexandria via LeMat-Bulk: CaTeCl after structural relaxation (PBE-GGA).

abc: 4.982 4.982 3.799
angles: 90.00 90.00 120.00
Fractional positions:
Ca 0.000 0.000 0.000
Te 0.667 0.333 0.500
Cl 0.333 0.667 0.000

Summary:
SG: No. 187
Energy relative to the elements, uncorrected: -1.23 eV per atom

***

7.
Entry from Alexandria via LeMat-Bulk: Ca6Te5Cl after structural relaxation (PBE-GGA).

abc: 7.726 7.726 7.719
angles: 99.55 99.55 120.00
Fractional positions:
Ca 0.080 0.415 0.247
Ca 0.249 0.249 0.750
Ca 0.415 0.080 0.247
Ca 0.585 0.920 0.753
Ca 0.751 0.751 0.250
Ca 0.920 0.585 0.753
Te 0.000 0.000 0.000
Te 0.167 0.833 0.500
Te 0.335 0.665 0.000
Te 0.665 0.335 0.000
Te 0.833 0.167 0.500
Cl 0.500 0.500 0.500

Summary:
SG: No. 12
Energy relative to the elements, uncorrected: -1.64 eV per atom

***

8.
Entry from Alexandria via LeMat-Bulk: CaTeCl after structural relaxation (PBE-GGA).

abc: 3.932 3.932 7.853
angles: 90.00 90.00 120.00
Fractional positions:
Ca 0.000 0.000 0.000
Te 0.667 0.333 0.711
Cl 0.333 0.667 0.188

Summary:
SG: No. 156
Energy relative to the elements, uncorrected: -1.47 eV per atom

***

9.
Entry from Alexandria via LeMat-Bulk: Ca2TeCl after structural relaxation (PBE-GGA).

abc: 8.367 8.367 8.367
angles: 133.21 133.21 68.32
Fractional positions:
Ca 0.099 0.625 0.974
Ca 0.375 0.349 0.474
Ca 0.651 0.125 0.026
Ca 0.875 0.901 0.526
Te 0.250 0.750 0.500
Te 0.500 0.500 0.000
Cl 0.000 0.000 0.000
Cl 0.750 0.250 0.500

Summary:
E above lowest polymorph: 0.161 eV per atom
SG: No. 122
Energy relative to the elements, uncorrected: -1.39 eV per atom

***

10.
Entry from Alexandria via LeMat-Bulk: CaTeCl after structural relaxation (PBE-GGA).

abc: 5.077 5.077 5.077
angles: 60.00 60.00 60.00
Fractional positions:
Ca 0.000 0.000 0.000
Te 0.500 0.500 0.500
Cl 0.750 0.750 0.750

Summary:
SG: No. 216
Energy relative to the elements, uncorrected: -0.87 eV per atom

***

11.
Entry from Alexandria via LeMat-Bulk: Ca2TeCl after structural relaxation (PBE-GGA).

abc: 10.033 10.033 10.033
angles: 24.63 24.63 24.63
Fractional positions:
Ca 0.000 0.000 0.000
Ca 0.198 0.198 0.198
Te 0.599 0.599 0.599
Cl 0.378 0.378 0.378

Summary:
E above lowest polymorph: 0.038 eV per atom
SG: No. 160
Energy relative to the elements, uncorrected: -1.51 eV per atom

***

12.
Entry from Alexandria via LeMat-Bulk: CaTiTe2Cl after structural relaxation (PBE-GGA).

abc: 5.961 5.961 4.401
angles: 90.00 90.00 90.00
Fractional positions:
Ca 0.000 0.000 0.000
Ti 0.500 0.500 0.000
Te 0.000 0.500 0.500
Te 0.500 0.000 0.500
Cl 0.500 0.500 0.500

Summary:
E above lowest polymorph: 0.036 eV per atom
SG: No. 123
Energy relative to the elements, uncorrected: -0.17 eV per atom

***

- The lowest energy relative to the elements, uncorrected belongs to which entry?
  Ca6Te5Cl

***

Please write out number 6 again, unchanged.
Entry from Alexandria via LeMat-Bulk: CaTeCl after structural relaxation (PBE-GGA).

abc: 4.982 4.982 3.799
angles: 90.00 90.00 120.00
Fractional positions:
Ca 0.000 0.000 0.000
Te 0.667 0.333 0.500
Cl 0.333 0.667 0.000

Summary:
SG: No. 187
Energy relative to the elements, uncorrected: -1.23 eV per atom